Version A
First-principles (PBE) data for a relaxed K3SO4F crystal, as listed in Alexandria via LeMat-Bulk.

a b c (Å): 7.6045 7.6045 7.6045
angles (deg): 121.93 121.93 86.70
Fractional positions:
K  0.1917  0.6917  0.8835
K  0.2500  0.2500  0.0000
K  0.3083  0.1917  0.5000
K  0.6917  0.8083  0.5000
K  0.7500  0.7500  0.0000
K  0.8083  0.3083  0.1165
S  0.2500  0.7500  0.5000
S  0.7500  0.2500  0.5000
O  0.0546  0.7871  0.5000
O  0.2129  0.7129  0.2675
O  0.2871  0.5546  0.5000
O  0.4454  0.9454  0.7325
O  0.5546  0.0546  0.2675
O  0.7129  0.4454  0.5000
O  0.7871  0.2871  0.7325
O  0.9454  0.2129  0.5000
F  0.0000  0.0000  0.0000
F  0.5000  0.5000  0.0000

Values from the calculation:
SG   I4/mcm

Version B
First-principles (PBE) data for a relaxed K3SO4F crystal, as listed in Alexandria via LeMat-Bulk.

a b c (Å): 5.4687 5.4687 5.4687
angles (deg): 90.00 90.00 90.00
Fractional positions:
K  0.0000  0.0000  0.5000
K  0.0000  0.5000  0.0000
K  0.5000  0.0000  0.0000
S  0.5000  0.5000  0.5000
O  0.3420  0.3420  0.6580
O  0.3420  0.6580  0.3420
O  0.6580  0.3420  0.3420
O  0.6580  0.6580  0.6580
F  0.0000  0.0000  0.0000

Values from the calculation:
SG   P-43m

Most stable structure, least stable structure: version A, version B.

Version A
First-principles (PBE) data for a relaxed KSbOF2 crystal, as listed in Alexandria via LeMat-Bulk.

a b c (Å): 4.4578 4.4578 4.7151
angles (deg): 90.00 90.00 90.00
Fractional positions:
K  0.0000  0.0000  0.0000
Sb  0.5000  0.5000  0.5000
O  0.0000  0.0000  0.5000
F  0.0000  0.5000  0.0000
F  0.5000  0.0000  0.0000

Values from the calculation:
SG   P4/mmm

Version B
First-principles (PBE) data for a relaxed KSbOF2 crystal, as listed in Alexandria via LeMat-Bulk.

a b c (Å): 4.6368 4.6368 4.2747
angles (deg): 90.00 90.00 90.00
Fractional positions:
K  0.0000  0.0000  0.0000
Sb  0.5000  0.5000  0.5000
O  0.5000  0.5000  0.0000
F  0.0000  0.5000  0.5000
F  0.5000  0.0000  0.5000

Values from the calculation:
SG   P4/mmm

Most stable structure, least stable structure: version B, version A.

Version A
First-principles (PBE) data for a relaxed KSiOF2 crystal, as listed in Alexandria via LeMat-Bulk.

a b c (Å): 4.5891 4.5891 4.6208
angles (deg): 90.00 90.00 90.00
Fractional positions:
K  0.0000  0.0000  0.0000
Si  0.5000  0.5000  0.5000
O  0.0000  0.0000  0.5000
F  0.0000  0.5000  0.0000
F  0.5000  0.0000  0.0000

Values from the calculation:
SG   P4/mmm

Version B
First-principles (PBE) data for a relaxed KSiOF2 crystal, as listed in Alexandria via LeMat-Bulk.

a b c (Å): 4.3450 4.3450 3.5519
angles (deg): 90.00 90.00 90.00
Fractional positions:
K  0.0000  0.0000  0.0000
Si  0.5000  0.5000  0.5000
O  0.5000  0.5000  0.0000
F  0.0000  0.5000  0.5000
F  0.5000  0.0000  0.5000

Values from the calculation:
SG   P4/mmm

Version C
First-principles (PBE) data for a relaxed KSiOF2 crystal, as listed in Alexandria via LeMat-Bulk.

a b c (Å): 4.3826 4.3826 6.6512
angles (deg): 90.00 90.00 90.00
Fractional positions:
K  0.0000  0.0000  0.0000
Si  0.0000  0.0000  0.5000
O  0.5000  0.5000  0.5000
F  0.0000  0.5000  0.0000
F  0.5000  0.0000  0.0000

Values from the calculation:
SG   P4/mmm

Most stable structure, least stable structure: version B, version C.

Version A
First-principles (PBE) data for a relaxed KSnOF2 crystal, as listed in Alexandria via LeMat-Bulk.

a b c (Å): 4.6065 4.6065 4.1501
angles (deg): 90.00 90.00 90.00
Fractional positions:
K  0.0000  0.0000  0.0000
Sn  0.5000  0.5000  0.5000
O  0.5000  0.5000  0.0000
F  0.0000  0.5000  0.5000
F  0.5000  0.0000  0.5000

Values from the calculation:
SG   P4/mmm

Version B
First-principles (PBE) data for a relaxed KSnOF2 crystal, as listed in Alexandria via LeMat-Bulk.

a b c (Å): 4.6223 4.6223 4.6439
angles (deg): 90.00 90.00 90.00
Fractional positions:
K  0.0000  0.0000  0.0000
Sn  0.5000  0.5000  0.5000
O  0.0000  0.0000  0.5000
F  0.0000  0.5000  0.0000
F  0.5000  0.0000  0.0000

Values from the calculation:
SG   P4/mmm

Most stable structure, least stable structure: version A, version B.

Version A
First-principles (PBE) data for a relaxed KSrOF2 crystal, as listed in Alexandria via LeMat-Bulk.

a b c (Å): 4.7612 4.7612 4.7767
angles (deg): 90.00 90.00 90.00
Fractional positions:
K  0.0000  0.0000  0.0000
Sr  0.5000  0.5000  0.5000
O  0.5000  0.5000  0.0000
F  0.0000  0.5000  0.5000
F  0.5000  0.0000  0.5000

Values from the calculation:
SG   P4/mmm

Version B
First-principles (PBE) data for a relaxed KSrOF2 crystal, as listed in Alexandria via LeMat-Bulk.

a b c (Å): 4.6432 4.6432 4.6479
angles (deg): 90.00 90.00 90.00
Fractional positions:
K  0.0000  0.0000  0.0000
Sr  0.5000  0.5000  0.5000
O  0.0000  0.0000  0.5000
F  0.0000  0.5000  0.0000
F  0.5000  0.0000  0.0000

Values from the calculation:
SG   P4/mmm

Most stable structure, least stable structure: version A, version B.

Version A
First-principles (PBE) data for a relaxed KTaOF2 crystal, as listed in Alexandria via LeMat-Bulk.

a b c (Å): 4.3826 4.3826 4.6304
angles (deg): 90.00 90.00 90.00
Fractional positions:
K  0.0000  0.0000  0.0000
Ta  0.5000  0.5000  0.5000
O  0.0000  0.0000  0.5000
F  0.0000  0.5000  0.0000
F  0.5000  0.0000  0.0000

Values from the calculation:
SG   P4/mmm

Version B
First-principles (PBE) data for a relaxed KTaOF2 crystal, as listed in Alexandria via LeMat-Bulk.

a b c (Å): 4.3965 4.3965 4.0107
angles (deg): 90.00 90.00 90.00
Fractional positions:
K  0.0000  0.0000  0.0000
Ta  0.5000  0.5000  0.5000
O  0.5000  0.5000  0.0000
F  0.0000  0.5000  0.5000
F  0.5000  0.0000  0.5000

Values from the calculation:
SG   P4/mmm

Most stable structure, least stable structure: version B, version A.

Version A
First-principles (PBE) data for a relaxed KTeOF2 crystal, as listed in Alexandria via LeMat-Bulk.

a b c (Å): 4.8204 4.8204 4.1343
angles (deg): 90.00 90.00 90.00
Fractional positions:
K  0.0000  0.0000  0.0000
Te  0.5000  0.5000  0.5000
O  0.5000  0.5000  0.0000
F  0.0000  0.5000  0.5000
F  0.5000  0.0000  0.5000

Values from the calculation:
SG   P4/mmm

Version B
First-principles (PBE) data for a relaxed KTeOF2 crystal, as listed in Alexandria via LeMat-Bulk.

a b c (Å): 4.5271 4.5271 4.6958
angles (deg): 90.00 90.00 90.00
Fractional positions:
K  0.0000  0.0000  0.0000
Te  0.5000  0.5000  0.5000
O  0.0000  0.0000  0.5000
F  0.0000  0.5000  0.0000
F  0.5000  0.0000  0.0000

Values from the calculation:
SG   P4/mmm

Most stable structure, least stable structure: version A, version B.

Version A
First-principles (PBE) data for a relaxed KTlOF2 crystal, as listed in Alexandria via LeMat-Bulk.

a b c (Å): 4.9260 4.9260 4.9626
angles (deg): 90.00 90.00 90.00
Fractional positions:
K  0.0000  0.0000  0.0000
Tl  0.5000  0.5000  0.5000
O  0.0000  0.0000  0.5000
F  0.0000  0.5000  0.0000
F  0.5000  0.0000  0.0000

Values from the calculation:
SG   P4/mmm

Version B
First-principles (PBE) data for a relaxed KTlOF2 crystal, as listed in Alexandria via LeMat-Bulk.

a b c (Å): 4.6717 4.6717 4.1011
angles (deg): 90.00 90.00 90.00
Fractional positions:
K  0.0000  0.0000  0.0000
Tl  0.5000  0.5000  0.5000
O  0.5000  0.5000  0.0000
F  0.0000  0.5000  0.5000
F  0.5000  0.0000  0.5000

Values from the calculation:
SG   P4/mmm

Most stable structure, least stable structure: version B, version A.